# 1
This record from Alexandria describes LiTi after structural relaxation. The functional is GGA-PBE.

Output
**Density of states at the Fermi level**: 8.23 states/eV per cell
**Energy relative to the lowest polymorph listed for this composition**: 0.475 eV per atom
**V**: 16.884 Å³ per atom

a b c (Å): 5.0901 5.0901 5.2133
angles (deg): 90.00 90.00 90.00
Closest atoms and distances in Å follow each position.
Sites, in units of the cell vectors:
Li: 0.1678 0.1678 0.0000  1 Li 2.42, 6 Ti 2.61-2.69
Li: 0.3322 0.6678 0.5000  1 Li 2.42, 6 Ti 2.61-2.69
Li: 0.6678 0.3322 0.5000  1 Li 2.42, 6 Ti 2.61-2.69
Li: 0.8322 0.8322 0.0000  1 Li 2.42, 6 Ti 2.61-2.69
Ti: 0.1699 0.1699 0.5000  1 Ti 2.45, 6 Li 2.61-2.69
Ti: 0.3301 0.6699 0.0000  1 Ti 2.45, 6 Li 2.61-2.69
Ti: 0.6699 0.3301 0.0000  1 Ti 2.45, 6 Li 2.61-2.69
Ti: 0.8301 0.8301 0.5000  1 Ti 2.45, 6 Li 2.61-2.69

=====

# 2
This record from Alexandria describes Li2Ti after structural relaxation. The functional is GGA-PBE.

Output
**Density of states at the Fermi level**: 2.32 states/eV per cell
**Calculated total energy**: -3.702 eV/atom
**V**: 17.502 Å³ per atom

a b c (Å): 2.7223 2.8025 7.9533
angles (deg): 98.45 91.34 118.37
Closest atoms and distances in Å follow each position.
Sites, in units of the cell vectors:
Li: 0.2179 0.4206 0.1716  6 Li 2.72-2.83, 2 Ti 2.98-3.03
Li: 0.7821 0.5794 0.8284  6 Li 2.72-2.83, 2 Ti 2.98-3.03
Ti: 0.0000 0.0000 0.5000  6 Ti 2.72-2.83, 4 Li 2.98-3.03

=====

# 3
This record from Alexandria describes LiTi after structural relaxation. The functional is GGA-PBE.

Output
**Density of states at the Fermi level**: 7.72 states/eV per cell
**Energy relative to the lowest polymorph listed for this composition**: 0.319 eV per atom
**V**: 16.796 Å³ per atom

a b c (Å): 6.2210 6.1718 5.1878
angles (deg): 65.75 64.76 49.49
Closest atoms and distances in Å follow each position.
Sites, in units of the cell vectors:
Li: 0.0353 0.7147 0.0353  1 Li 2.38
Li: 0.2853 0.9647 0.2853  1 Li 2.38
Li: 0.7147 0.0353 0.7147  1 Li 2.38
Li: 0.9647 0.2853 0.9647  1 Li 2.38
Ti: 0.2176 0.5324 0.5324  1 Ti 2.28
Ti: 0.4676 0.7824 0.7824  1 Ti 2.28
Ti: 0.5324 0.2176 0.2176  1 Ti 2.28
Ti: 0.7824 0.4676 0.4676  1 Ti 2.28

=====

# 4
This record from Alexandria describes LiTiTl after structural relaxation. The functional is GGA-PBE.

Output
**Density of states at the Fermi level**: 3.34 states/eV per cell
**Energy relative to the lowest polymorph listed for this composition**: 0.125 eV per atom
**V**: 19.025 Å³ per atom

a b c (Å): 5.5621 5.5621 4.5665
angles (deg): 113.89 113.89 92.90
Closest atoms and distances in Å follow each position.
Sites, in units of the cell vectors:
Li: 0.0795 0.9205 0.7500  2 Li 2.62
Li: 0.9205 0.0795 0.2500  2 Li 2.62
Ti: 0.4455 0.5545 0.7500  2 Ti 2.45
Ti: 0.5545 0.4455 0.2500  2 Ti 2.45
Tl: 0.0000 0.5000 0.0000  6 Ti 2.90-3.19, 6 Li 3.07-3.09, 2 Tl 3.10
Tl: 0.5000 0.0000 0.5000  6 Ti 2.90-3.19, 6 Li 3.07-3.09, 2 Tl 3.10

=====

# 5
This record from Alexandria describes LiTiTl2 after structural relaxation. The functional is GGA-PBE.

Output
**Density of states at the Fermi level**: 3.51 states/eV per cell
**Calculated total energy**: -3.362 eV/atom
**V**: 23.336 Å³ per atom

a b c (Å): 10.6267 10.6267 10.6267
angles (deg): 17.37 17.37 17.37
Closest atoms and distances in Å follow each position.
Sites, in units of the cell vectors:
Li: 0.0000 0.0000 0.0000  6 Tl 3.03, 6 Li 3.21
Ti: 0.5000 0.5000 0.5000  2 Tl 2.83
Tl: 0.4099 0.4099 0.4099  1 Ti 2.83, 3 Li 3.03
Tl: 0.5901 0.5901 0.5901  1 Ti 2.83, 3 Li 3.03

=====

# 6
This record from Alexandria describes LiTiTl2 after structural relaxation. The functional is GGA-PBE.

Output
**Density of states at the Fermi level**: 3.43 states/eV per cell
**Calculated total energy**: -3.641 eV/atom
**V**: 20.025 Å³ per atom

a b c (Å): 3.3137 3.3137 7.2946
angles (deg): 90.00 90.00 90.00
Closest atoms and distances in Å follow each position.
Sites, in units of the cell vectors:
Li: 0.0000 0.0000 0.0000  8 Tl 2.92
Ti: 0.0000 0.0000 0.5000  8 Tl 3.02, 4 Ti 3.31
Tl: 0.5000 0.5000 0.2396  4 Li 2.92, 4 Ti 3.02
Tl: 0.5000 0.5000 0.7604  4 Li 2.92, 4 Ti 3.02

=====

# 7
This record from Alexandria describes LiTiTl after structural relaxation. The functional is GGA-PBE.

Output
**Density of states at the Fermi level**: 13.34 states/eV per cell
**Energy relative to the lowest polymorph listed for this composition**: 1.098 eV per atom
**V**: 29.757 Å³ per atom

a b c (Å): 4.3093 4.3093 11.1019
angles (deg): 90.00 90.00 120.00
Closest atoms and distances in Å follow each position.
Sites, in units of the cell vectors:
Li: 0.3333 0.6667 0.2500  3 Tl 2.49
Li: 0.6667 0.3333 0.7500  3 Tl 2.49
Ti: 0.0000 0.0000 0.0000  2 Tl 2.78
Ti: 0.0000 0.0000 0.5000  2 Tl 2.78
Tl: 0.0000 0.0000 0.2500  3 Li 2.49, 2 Ti 2.78
Tl: 0.0000 0.0000 0.7500  3 Li 2.49, 2 Ti 2.78

=====

# 8
This record from Alexandria describes LiTiTl2 after structural relaxation. The functional is GGA-PBE.

Output
**Density of states at the Fermi level**: 3.45 states/eV per cell
**Calculated total energy**: -3.382 eV/atom
**V**: 21.974 Å³ per atom

a b c (Å): 6.1433 6.1433 6.1433
angles (deg): 105.60 105.60 117.53
Closest atoms and distances in Å follow each position.
Sites, in units of the cell vectors:
Li: 0.0000 0.0000 0.0000  4 Tl 2.65
Li: 0.7500 0.2500 0.5000  4 Tl 2.65
Ti: 0.2500 0.7500 0.5000  4 Tl 2.84
Ti: 0.5000 0.5000 0.0000  4 Tl 2.84
Tl: 0.1056 0.1250 0.4806  2 Li 2.65, 2 Ti 2.84
Tl: 0.3750 0.8944 0.0194  2 Li 2.65, 2 Ti 2.84
Tl: 0.6444 0.6250 0.5194  2 Li 2.65, 2 Ti 2.84
Tl: 0.8750 0.3556 0.9806  2 Li 2.65, 2 Ti 2.84

=====

# 9
This record from Alexandria describes LiTiTl after structural relaxation. The functional is GGA-PBE.

Output
**Density of states at the Fermi level**: 6.42 states/eV per cell
**Energy relative to the lowest polymorph listed for this composition**: 0.072 eV per atom
**V**: 19.432 Å³ per atom

a b c (Å): 8.6361 3.0551 8.8380
angles (deg): 90.00 90.00 90.00
Closest atoms and distances in Å follow each position.
Sites, in units of the cell vectors:
Li: 0.1264 0.2500 0.0837  5 Tl 2.86-3.08, 3 Ti 2.97-3.16, 4 Li 3.05-3.06
Li: 0.3736 0.7500 0.5837  5 Tl 2.86-3.08, 3 Ti 2.97-3.16, 4 Li 3.05-3.06
Li: 0.6264 0.2500 0.4163  5 Tl 2.86-3.08, 3 Ti 2.97-3.16, 4 Li 3.05-3.06
Li: 0.8736 0.7500 0.9163  5 Tl 2.86-3.08, 3 Ti 2.97-3.16, 4 Li 3.05-3.06
Ti: 0.1010 0.2500 0.4193  2 Ti 2.72, 1 Li 2.97, 3 Tl 3.03-3.04
Ti: 0.3990 0.7500 0.9193  2 Ti 2.72, 1 Li 2.97, 3 Tl 3.03-3.04
Ti: 0.6010 0.2500 0.0807  2 Ti 2.72, 1 Li 2.97, 3 Tl 3.03-3.04
Ti: 0.8990 0.7500 0.5807  2 Ti 2.72, 1 Li 2.97, 3 Tl 3.03-3.04
Tl: 0.1399 0.2500 0.7607  5 Li 2.86-3.08, 5 Ti 3.03-3.05, 2 Tl 3.06
Tl: 0.3601 0.7500 0.2607  5 Li 2.86-3.08, 5 Ti 3.03-3.05, 2 Tl 3.06
Tl: 0.6399 0.2500 0.7393  5 Li 2.86-3.08, 5 Ti 3.03-3.05, 2 Tl 3.06
Tl: 0.8601 0.7500 0.2393  5 Li 2.86-3.08, 5 Ti 3.03-3.05, 2 Tl 3.06

=====

# 10
This record from Alexandria describes LiTiTl after structural relaxation. The functional is GGA-PBE.

Output
**Density of states at the Fermi level**: 5.15 states/eV per cell
**Energy relative to the lowest polymorph listed for this composition**: 0.000 eV per atom
**V**: 19.089 Å³ per atom

a b c (Å): 3.2658 3.5429 9.8990
angles (deg): 90.00 90.00 90.00
Closest atoms and distances in Å follow each position.
Sites, in units of the cell vectors:
Li: 0.2500 0.2500 0.0833  5 Tl 2.87-3.21, 4 Li 2.92
Li: 0.7500 0.7500 0.9167  5 Tl 2.87-3.21, 4 Li 2.92
Ti: 0.2500 0.2500 0.4275  4 Ti 2.80, 4 Tl 3.04
Ti: 0.7500 0.7500 0.5725  4 Ti 2.80, 4 Tl 3.04
Tl: 0.2500 0.2500 0.7594  5 Li 2.87-3.21, 4 Ti 3.04
Tl: 0.7500 0.7500 0.2406  5 Li 2.87-3.21, 4 Ti 3.04

=====

# 11
This record from Alexandria describes LiTiTl after structural relaxation. The functional is GGA-PBE.

Output
**Density of states at the Fermi level**: 3.07 states/eV per cell
**Energy relative to the lowest polymorph listed for this composition**: 0.210 eV per atom
**V**: 19.590 Å³ per atom

a b c (Å): 7.1113 6.3543 4.7470
angles (deg): 78.20 61.01 40.80
Closest atoms and distances in Å follow each position.
Sites, in units of the cell vectors:
Li: 0.2500 0.2500 0.2500  2 Li 2.48, 4 Tl 2.78
Li: 0.7500 0.7500 0.7500  2 Li 2.48, 4 Tl 2.78
Ti: 0.1722 0.8278 0.1722  3 Ti 2.78-2.79, 2 Tl 3.03
Ti: 0.8278 0.1722 0.8278  3 Ti 2.78-2.79, 2 Tl 3.03
Tl: 0.3741 0.3741 0.6259  4 Li 2.78, 1 Tl 2.95, 2 Ti 3.03
Tl: 0.6259 0.6259 0.3741  4 Li 2.78, 1 Tl 2.95, 2 Ti 3.03

=====

# 12
This record from Alexandria describes LiTiTl after structural relaxation. The functional is GGA-PBE.

Output
**Density of states at the Fermi level**: 4.22 states/eV per cell
**Energy relative to the lowest polymorph listed for this composition**: 0.040 eV per atom
**V**: 19.065 Å³ per atom

a b c (Å): 3.1314 4.2654 8.5643
angles (deg): 90.00 90.12 90.00
Closest atoms and distances in Å follow each position.
Sites, in units of the cell vectors:
Li: 0.2483 0.2500 0.4513  4 Tl 2.71-2.96, 4 Li 2.77-2.78
Li: 0.7517 0.7500 0.5487  4 Tl 2.71-2.96, 4 Li 2.77-2.78
Ti: 0.2494 0.7500 0.9151  5 Tl 2.92-3.02, 6 Ti 3.02-3.13
Ti: 0.7506 0.2500 0.0849  5 Tl 2.92-3.02, 6 Ti 3.02-3.13
Tl: 0.2524 0.7500 0.2554  4 Li 2.71-2.96, 5 Ti 2.92-3.02
Tl: 0.7476 0.2500 0.7446  4 Li 2.71-2.96, 5 Ti 2.92-3.02